# Pm3Co2O9 PBE with a Hubbard U relaxed
# Calculated total energy in eV per atom: -6.965
# V in A^3/atom: 10.94
data_Pm3Co2O9
_cell_length_a 9.1047
_cell_length_b 9.1047
_cell_length_c 12.7972
_cell_angle_alpha 90.00
_cell_angle_beta 90.00
_cell_angle_gamma 120.00
_symmetry_space_group_name_H-M 'R -3 c'
_symmetry_Int_Tables_number 167
_symmetry_space_group_name_Hall '-R 3 2"c'
loop_
_atom_site_label
_atom_site_fract_x
_atom_site_fract_y
_atom_site_fract_z
Pm1 0.0000 0.3384 0.2500
Co1 0.0000 0.0000 0.1522
O1 0.0000 0.1621 0.7500
O2 0.0025 0.1751 0.4140